The following is a PBE-GGA calculation of an optimized crystal structure of Mn2CdGeBr, from Alexandria via LeMat-Bulk.

```
5
Lattice="5.2279 0.0000 0.0000 0.0000 5.2279 0.0000 0.0000 0.0000 4.8569" Properties=species:S:1:pos:R:3 pbc="T T T"
Mn 0.0000 2.6139 0.0000
Mn 2.6139 0.0000 0.0000
Cd 0.0000 0.0000 0.0000
Ge 0.0000 0.0000 2.4284
Br 2.6139 2.6139 2.4284
```

Calculated values
- formation energy (no corrections) (kJ/mol of formula units) = 431
- space group = P4/mmm
- total DFT energy (no corrections) (hartree per atom) = -0.155
- density (g cm⁻³) = 4.69